VASP calculation (PBEsol) on crystalline MoBrCl4 at its relaxed geometry.

Cell: 5.5809 5.5809 5.5809 Å, 60.00 60.00 60.00°
Closest atoms and distances in Å follow each position.
Positions (direct):
Mo: 0.0000 0.0000 0.0000  12 Cl 3.27, 4 Br 3.42
Br: 0.2500 0.2500 0.2500  12 Cl 3.27, 4 Mo 3.42
Cl: 0.1230 0.6257 0.6257  6 Cl 2.78-2.81
Cl: 0.6257 0.1230 0.6257  6 Cl 2.78-2.81
Cl: 0.6257 0.6257 0.1230  6 Cl 2.78-2.81
Cl: 0.6257 0.6257 0.6257  6 Cl 2.78-2.81

## Properties
Calculated total energy (eV per atom): -2.6878
Theoretical density (g/cm3): 4.29
M_tot (μB/f.u.): 4.0
N(E_F) (states/eV/atom): 1.33
ΔE_f (raw) (eV/atom): 0.92

***

VASP calculation (PBEsol) on crystalline MoBrCl2 at its relaxed geometry.

Cell: 7.1346 7.1346 7.1346 Å, 31.27 31.27 31.27°
Closest atoms and distances in Å follow each position.
Positions (direct):
Mo: 0.0000 0.0000 0.0000  3 Cl 2.50, 3 Br 2.63
Br: 0.7358 0.7358 0.7358  3 Mo 2.63
Cl: 0.2772 0.2772 0.2772  3 Mo 2.50
Cl: 0.5065 0.5065 0.5065  3 Cl 3.07, 3 Br 3.07

## Properties
Calculated total energy (eV per atom): -4.4770
Theoretical density (g/cm3): 4.72
M_tot (μB/f.u.): 3.0
Energy above the most stable polymorph in this dataset (meV/atom): 242
N(E_F) (states/eV/atom): 0.13
ΔE_f (raw) (eV/atom): -0.06

***

VASP calculation (PBEsol) on crystalline MoBr2Cl at its relaxed geometry.

Cell: 8.3443 8.3443 8.3443 Å, 23.18 23.18 23.18°
Closest atoms and distances in Å follow each position.
Positions (direct):
Mo: 0.0000 0.0000 0.0000  6 Br 2.58
Br: 0.2630 0.2630 0.2630  3 Mo 2.58
Br: 0.7370 0.7370 0.7370  3 Mo 2.58
Cl: 0.5000 0.5000 0.5000  6 Br 3.04, 6 Cl 3.35

## Properties
Calculated total energy (eV per atom): -4.4896
Theoretical density (g/cm3): 6.12
M_tot (μB/f.u.): 0.0
Energy above the most stable polymorph in this dataset (meV/atom): 226
N(E_F) (states/eV/atom): 0.77
ΔE_f (raw) (eV/atom): -0.11

***

VASP calculation (PBEsol) on crystalline MoBr2Cl at its relaxed geometry.

Cell: 3.2962 3.2962 10.5953 Å, 90.00 90.00 126.14°
Closest atoms and distances in Å follow each position.
Positions (direct):
Mo: 0.0000 0.0000 0.0000  2 Cl 2.40, 2 Br 2.52
Br: 0.0000 0.0000 0.5026  6 Br 2.99-3.30
Br: 0.5000 0.5000 0.1917  2 Mo 2.52
Cl: 0.5000 0.5000 0.8229  2 Mo 2.40

## Properties
Calculated total energy (eV per atom): -4.3401
Theoretical density (g/cm3): 5.20
M_tot (μB/f.u.): 1.2
Energy above the most stable polymorph in this dataset (meV/atom): 375
N(E_F) (states/eV/atom): 0.61
ΔE_f (raw) (eV/atom): 0.04

***

VASP calculation (PBEsol) on crystalline MoBrCl2 at its relaxed geometry.

Cell: 7.2211 7.2211 7.2211 Å, 155.49 143.02 44.87°
Closest atoms and distances in Å follow each position.
Positions (direct):
Mo: 0.0000 0.0000 0.0000  6 Cl 2.47-2.76, 2 Br 2.58
Br: 0.1555 0.6555 0.5000  2 Mo 2.58
Cl: 0.4990 0.4990 0.0000  4 Mo 2.76, 4 Cl 2.99-3.07
Cl: 0.8553 0.3553 0.5000  2 Mo 2.47

## Properties
Calculated total energy (eV per atom): -4.7185
Theoretical density (g/cm3): 4.37
M_tot (μB/f.u.): 1.9
Energy above the most stable polymorph in this dataset (meV/atom): 0
N(E_F) (states/eV/atom): 0.45
ΔE_f (raw) (eV/atom): -0.31

***

VASP calculation (PBEsol) on crystalline MoBr2Cl at its relaxed geometry.

Cell: 4.9164 4.9164 3.2634 Å, 90.00 90.00 90.00°
Closest atoms and distances in Å follow each position.
Positions (direct):
Mo: 0.0000 0.0000 0.0000  8 Br 2.95, 2 Mo 3.26
Br: 0.0000 0.5000 0.5000  4 Cl 2.95, 4 Mo 2.95, 2 Br 3.26
Br: 0.5000 0.0000 0.5000  4 Cl 2.95, 4 Mo 2.95, 2 Br 3.26
Cl: 0.5000 0.5000 0.0000  8 Br 2.95, 2 Cl 3.26

## Properties
Calculated total energy (eV per atom): -3.6554
Theoretical density (g/cm3): 6.13
M_tot (μB/f.u.): 2.5
Energy above the most stable polymorph in this dataset (meV/atom): 1060
N(E_F) (states/eV/atom): 0.88
ΔE_f (raw) (eV/atom): 0.72